(1)
Computed, not measured: a relaxed structure of CsK4Cd at the GGA-PBE level of DFT.

Summary:
Formation energy from the elements, kJ/mol of formula units: -5
Total energy, eV/atom: -1.0344
M_tot, μB per cell: 0.0

Cell lengths 7.773, 9.723, 12.569 Å; angles 112.76, 107.94, 90.00 degrees
Fractional coordinates of all 12 atoms:
Cs: 0.210 0.210 0.420
Cs: 0.790 0.790 0.580
K: 0.852 0.352 0.705
K: 0.605 0.340 0.209
K: 0.000 0.214 0.000
K: 0.395 0.131 0.791
K: 0.148 0.648 0.295
K: 0.395 0.660 0.791
K: 0.000 0.786 0.000
K: 0.605 0.869 0.209
Cd: 0.689 0.499 0.999
Cd: 0.311 0.501 0.001



(2)
Computed, not measured: a relaxed structure of YZr3O at the GGA-PBE level of DFT.

Summary:
Total energy, eV/atom: -5.5718
ΔE_f (raw), eV/f.u.: 9.208
M_tot, μB per cell: 0.0

Cell lengths 5.199, 5.199, 5.199 Å; angles 90.00, 90.00, 90.00 degrees
Fractional coordinates of all 5 atoms:
Y: 0.000 0.000 0.000
O: 0.500 0.500 0.500
Zr: 0.000 0.500 0.000
Zr: 0.000 0.000 0.500
Zr: 0.500 0.000 0.000



(3)
Computed, not measured: a relaxed structure of BaSm2Er at the GGA-PBE level of DFT.

Summary:
Formation energy from the elements, kJ/mol of formula units: 80
Total energy, eV/atom: -3.7743
M_tot, μB per cell: 0.0

Cell lengths 3.642, 3.642, 13.143 Å; angles 82.04, 82.04, 60.00 degrees
Fractional coordinates of all 4 atoms:
Ba: 0.000 0.000 0.000
Sm: 0.094 0.094 0.718
Sm: 0.906 0.906 0.282
Er: 0.500 0.500 0.500



Number 1: distance to the lowest polymorph of the same formula 0.0 kJ per mole of atoms, calculated volume 825.63 Å³ per cell. Number 2: distance to the lowest polymorph of the same formula 271.5 kJ per mole of atoms, calculated volume 140.51 Å³ per cell. Number 3: distance to the lowest polymorph of the same formula 7.2 kJ per mole of atoms, calculated volume 149.00 Å³ per cell.